1.
Ba2YBe: relaxed, PBEsol. Values from VASP.

```
&SYSTEM
  ibrav = 0, nat = 4, ntyp = 3
/
ATOMIC_SPECIES
Ba 137.33 Ba.upf
Y 88.91 Y.upf
Be 9.01 Be.upf
ATOMIC_POSITIONS crystal
Ba 0.000 0.000 0.196
Ba 0.000 0.000 0.804
Y 0.500 0.500 0.500
Be 0.500 0.500 0.000
CELL_PARAMETERS angstrom
3.841 0.000 0.000
0.000 3.841 0.000
0.000 0.000 9.526
```

Results
The value obtained for the total energy is -0.1220 Ha/atom. The calculation puts the density of states at the Fermi level at 1.357 states/eV per atom. Its total magnetization is 0.3171 μB per atom. As for the calculated formation energy: 461 meV/atom.


2.
BaYBe2: relaxed, PBEsol. Values from VASP.

```
&SYSTEM
  ibrav = 0, nat = 4, ntyp = 3
/
ATOMIC_SPECIES
Ba 137.33 Ba.upf
Y 88.91 Y.upf
Be 9.01 Be.upf
ATOMIC_POSITIONS crystal
Ba 0.000 0.000 0.000
Y 0.500 0.500 0.610
Be 0.000 0.000 0.385
Be 0.500 0.500 0.287
CELL_PARAMETERS angstrom
3.189 0.000 0.000
0.000 3.189 0.000
0.000 0.000 8.722
```

Results
The value obtained for the total energy is -0.1373 Ha/atom. The calculation puts the density of states at the Fermi level at 1.101 states/eV per atom. Its total magnetization is 0.0036 μB per atom. As for the calculated formation energy: 507 meV/atom.


3.
Ba3YBe: relaxed, PBEsol. Values from VASP.

```
&SYSTEM
  ibrav = 0, nat = 5, ntyp = 3
/
ATOMIC_SPECIES
Ba 137.33 Ba.upf
Y 88.91 Y.upf
Be 9.01 Be.upf
ATOMIC_POSITIONS crystal
Ba 0.000 0.000 0.500
Ba 0.000 0.500 0.000
Ba 0.500 0.000 0.000
Y 0.000 0.000 0.000
Be 0.500 0.500 0.500
CELL_PARAMETERS angstrom
6.261 0.000 0.000
0.000 6.261 0.000
0.000 0.000 6.261
```

Results
The value obtained for the total energy is -0.0849 Ha/atom. The calculation puts the density of states at the Fermi level at 1.830 states/eV per atom. Its total magnetization is 0.0002 μB per atom. As for the calculated formation energy: 1144 meV/atom.


4.
Ba2YBe: relaxed, PBEsol. Values from VASP.

```
&SYSTEM
  ibrav = 0, nat = 4, ntyp = 3
/
ATOMIC_SPECIES
Ba 137.33 Ba.upf
Y 88.91 Y.upf
Be 9.01 Be.upf
ATOMIC_POSITIONS crystal
Ba 0.000 0.500 0.000
Ba 0.500 0.000 0.000
Y 0.000 0.000 0.500
Be 0.500 0.500 0.500
CELL_PARAMETERS angstrom
5.792 0.000 0.000
0.000 5.792 0.000
0.000 0.000 4.112
```

Results
The value obtained for the total energy is -0.1179 Ha/atom. The calculation puts the density of states at the Fermi level at 0.908 states/eV per atom. Its total magnetization is 0.0001 μB per atom. As for the calculated formation energy: 571 meV/atom.


5.
BaBe2Zn: relaxed, PBEsol. Values from VASP.

```
&SYSTEM
  ibrav = 0, nat = 4, ntyp = 3
/
ATOMIC_SPECIES
Ba 137.33 Ba.upf
Be 9.01 Be.upf
Zn 65.41 Zn.upf
ATOMIC_POSITIONS crystal
Ba 0.000 0.000 0.000
Be 0.500 0.255 0.500
Be 0.500 0.745 0.500
Zn 0.000 0.500 0.500
CELL_PARAMETERS angstrom
4.105 0.000 0.000
0.000 4.177 0.000
0.000 0.000 5.187
```

Results
The value obtained for the total energy is -0.0984 Ha/atom. The calculation puts the density of states at the Fermi level at 0.318 states/eV per atom. Its total magnetization is 0.0001 μB per atom. As for the calculated formation energy: 254 meV/atom.


6.
Ba2BeZn: relaxed, PBEsol. Values from VASP.

```
&SYSTEM
  ibrav = 0, nat = 4, ntyp = 3
/
ATOMIC_SPECIES
Ba 137.33 Ba.upf
Be 9.01 Be.upf
Zn 65.41 Zn.upf
ATOMIC_POSITIONS crystal
Ba 0.000 0.000 0.000
Ba 0.250 0.250 0.250
Be 0.500 0.500 0.500
Zn 0.750 0.750 0.750
CELL_PARAMETERS angstrom
0.000 3.759 3.759
3.759 0.000 3.759
3.759 3.759 0.000
```

Results
The value obtained for the total energy is -0.0779 Ha/atom. The calculation puts the density of states at the Fermi level at 0.046 states/eV per atom. Its total magnetization is 0.0000 μB per atom. As for the calculated formation energy: 349 meV/atom.


7.
Ba2ZrBe: relaxed, PBEsol. Values from VASP.

```
&SYSTEM
  ibrav = 0, nat = 4, ntyp = 3
/
ATOMIC_SPECIES
Ba 137.33 Ba.upf
Zr 91.22 Zr.upf
Be 9.01 Be.upf
ATOMIC_POSITIONS crystal
Ba 0.152 0.152 0.152
Ba 0.848 0.848 0.848
Zr 0.000 0.000 0.500
Be 0.500 0.500 0.000
CELL_PARAMETERS angstrom
9.439 -1.749 0.000
9.439 1.749 0.000
-0.844 0.000 3.910
```

Results
The value obtained for the total energy is -0.1423 Ha/atom. The calculation puts the density of states at the Fermi level at 1.343 states/eV per atom. Its total magnetization is 0.1121 μB per atom. As for the calculated formation energy: 476 meV/atom.


8.
Ba4ZrBe: relaxed, PBEsol. Values from VASP.

```
&SYSTEM
  ibrav = 0, nat = 6, ntyp = 3
/
ATOMIC_SPECIES
Ba 137.33 Ba.upf
Zr 91.22 Zr.upf
Be 9.01 Be.upf
ATOMIC_POSITIONS crystal
Ba 0.125 0.125 0.125
Ba 0.125 0.125 0.624
Ba 0.125 0.624 0.125
Ba 0.624 0.125 0.125
Zr 0.750 0.750 0.750
Be 0.500 0.500 0.500
CELL_PARAMETERS angstrom
0.000 4.906 4.906
4.906 0.000 4.906
4.906 4.906 0.000
```

Results
The value obtained for the total energy is -0.0911 Ha/atom. The calculation puts the density of states at the Fermi level at 1.988 states/eV per atom. Its total magnetization is 0.5755 μB per atom. As for the calculated formation energy: 1137 meV/atom.